Material: NaSi2Rh2
Method: DFT, meta-GGA SCAN
State: single point on PBEsol structure

Cell: 4.0311 4.0311 5.6612 Å, 110.86 110.86 90.00°
With the nearest neighbours (Å) after each atom.
Positions (direct):
Na  0.0000  0.0000  0.0000  8 Si 3.10, 8 Rh 3.17
Si  0.3743  0.3743  0.7487  4 Rh 2.35, 1 Si 2.46
Si  0.6257  0.6257  0.2513  4 Rh 2.35, 1 Si 2.46
Rh  0.2500  0.7500  0.5000  4 Si 2.35
Rh  0.7500  0.2500  0.5000  4 Si 2.35

Values from the calculation:
formation energy from raw total energies: -3.8 eV per formula unit
electronic total energy: -19.11 eV/atom

***

Material: SrHf2ZnPd
Method: DFT, meta-GGA SCAN
State: single point on PBEsol structure

Cell: 4.9281 5.0441 5.0441 Å, 90.00 90.00 90.00°
With the nearest neighbours (Å) after each atom.
Positions (direct):
Sr  0.5000  0.5000  0.5000  8 Hf 3.53, 4 Zn 3.57
Zn  0.5000  0.0000  0.0000  2 Pd 2.46
Hf  0.0000  0.0000  0.5000  2 Pd 2.52
Hf  0.0000  0.5000  0.0000  2 Pd 2.52
Pd  0.0000  0.0000  0.0000  2 Zn 2.46, 4 Hf 2.52

Values from the calculation:
ΔH_f (0 K): 0.311 eV per atom
electronic total energy: -38.47 eV/atom